DFT (GGA+U) results for an optimized crystal structure of AlCoO3.

a b c (Å): 3.633 3.633 3.633
angles (deg): 90.00 90.00 90.00
Space group Pm-3m (No. 221)
Asymmetric unit:
Al 0.000 0.000 0.000 x1
Co 0.500 0.500 0.500 x1
O 0.000 0.000 0.500 x3

**Crystal system**: cubic
**Electronic total energy**: -0.225 hartree per atom